# SrCdBr2

Crystalline SrCdBr2 at its relaxed geometry (PBEsol, Alexandria).

magnetization	0.00	Bohr magnetons per cell
space group	I-4m2 (119)
energy above the lowest structure with this stoichiometry	0.369	eV/f.u.
raw formation energy	-1139	meV per atom

Cell lengths 4.604, 4.604, 6.236 Å; angles 111.66, 111.66, 90.00 degrees
Positions (direct):
Br 0.750 0.250 0.500
Br 0.000 0.000 0.000
Cd 0.500 0.500 0.000
Sr 0.250 0.750 0.500